Entry 1:
{"formula": "La2Pm5PrTl", "functional": "PBE", "state": "optimized geometry", "lattice_angstrom": [[5.641, 0.000, 0.000], [-2.820, 10.115, 0.000], [0.000, 0.000, 10.931]], "species": ["La", "La", "La", "La", "Pm", "Pm", "Pm", "Pm", "Pm", "Pm", "Pm", "Pm", "Pm", "Pm", "Pr", "Pr", "Tl", "Tl"], "fractional_positions": [[0.882, 0.764, 0.807], [0.118, 0.236, 0.709], [0.118, 0.236, 0.307], [0.882, 0.764, 0.209], [0.387, 0.773, 0.008], [0.710, 0.419, 0.811], [0.500, 0.000, 0.758], [0.291, 0.582, 0.706], [0.987, 0.974, 0.508], [0.613, 0.227, 0.508], [0.290, 0.581, 0.311], [0.500, 0.000, 0.258], [0.709, 0.418, 0.206], [0.013, 0.026, 0.008], [0.796, 0.592, 0.508], [0.204, 0.408, 0.008], [0.592, 0.184, 0.008], [0.408, 0.816, 0.508]], "total_energy_ev_per_atom": -4.53, "ef_ev_per_atom": -0.005, "magmom_total_mub_per_cell": 0.00}

Entry 2:
{"formula": "LaPm2PrTl4", "functional": "PBE", "state": "optimized geometry", "lattice_angstrom": [[-3.462, -1.329, -4.122], [-4.078, -3.655, 0.873], [-8.035, 5.088, 1.379]], "species": ["La", "Pm", "Pm", "Pr", "Tl", "Tl", "Tl", "Tl"], "fractional_positions": [[0.000, 0.000, 0.000], [0.750, 0.750, 0.750], [0.250, 0.250, 0.250], [0.500, 0.500, 0.500], [0.376, 0.376, 0.873], [0.874, 0.874, 0.377], [0.126, 0.126, 0.623], [0.624, 0.624, 0.127]], "total_energy_ev_per_atom": -3.98, "ef_ev_per_atom": -0.395, "magmom_total_mub_per_cell": 0.00}

Entry 3:
{"formula": "LaPmPr2Tl2", "functional": "PBE", "state": "optimized geometry", "lattice_angstrom": [[-1.464, 2.590, 4.528], [-5.272, -4.484, 0.860], [6.102, -6.124, 5.476]], "species": ["La", "La", "Pm", "Pm", "Pr", "Pr", "Pr", "Pr", "Tl", "Tl", "Tl", "Tl"], "fractional_positions": [[0.000, 0.978, 0.460], [0.000, 0.478, 0.540], [0.500, 0.204, 0.679], [0.500, 0.704, 0.321], [0.500, 0.035, 0.041], [0.000, 0.312, 0.175], [0.500, 0.535, 0.959], [0.000, 0.812, 0.825], [0.000, 0.286, 0.853], [0.500, 0.231, 0.357], [0.000, 0.786, 0.147], [0.500, 0.731, 0.643]], "total_energy_ev_per_atom": -4.27, "ef_ev_per_atom": -0.277, "magmom_total_mub_per_cell": 0.01}

Entry 4:
{"formula": "La5Pm2PrTl", "functional": "PBE", "state": "optimized geometry", "lattice_angstrom": [[-4.837, -0.128, 3.021], [7.792, -0.770, 7.057], [0.274, 11.108, 0.909]], "species": ["La", "La", "La", "La", "La", "La", "La", "La", "La", "La", "Pm", "Pm", "Pm", "Pm", "Pr", "Pr", "Tl", "Tl"], "fractional_positions": [[0.379, 0.758, 0.008], [0.711, 0.422, 0.808], [0.500, 0.999, 0.758], [0.290, 0.579, 0.709], [0.990, 0.980, 0.508], [0.621, 0.242, 0.508], [0.289, 0.578, 0.308], [0.500, 0.001, 0.258], [0.710, 0.421, 0.209], [0.010, 0.020, 0.008], [0.883, 0.766, 0.805], [0.117, 0.234, 0.712], [0.117, 0.234, 0.305], [0.883, 0.766, 0.212], [0.807, 0.615, 0.509], [0.193, 0.385, 0.009], [0.592, 0.183, 0.007], [0.408, 0.817, 0.507]], "total_energy_ev_per_atom": -4.59, "ef_ev_per_atom": -0.007, "magmom_total_mub_per_cell": 0.00}